First-principles (PBE-GGA) data for YCN2F after structural relaxation, as listed in Alexandria via LeMat-Bulk.

## Properties
Magnetization ... 2.000 μB per cell
Uncorrected energy ... -5.6089 eV/atom
Formation energy without anion corrections ... 1.23 eV per atom
Volume ... 18.56 Å³/atom

Cell lengths 4.6672, 4.6672, 4.2601 Å; angles 90.00, 90.00, 90.00 degrees
Last column: nearest neighbours and their distance in Å.
Space group P4/mmm (No. 123)
Symmetry-distinct sites (fractional):
Y  0.0000  0.0000  0.0000 x1  2 F 2.13, 4 N 2.33
C  0.5000  0.5000  0.5000 x1  8 N 3.16, 4 F 3.30
N  0.0000  0.5000  0.0000 x2  2 Y 2.33
F  0.0000  0.0000  0.5000 x1  2 Y 2.13